Record 1
# K11Rb17Ca PBE-GGA relaxed
# SG	Cm
# calculated formation energy	0.03	eV/atom
# E	-0.075	Ry per atom
data_K11Rb17Ca
_cell_length_a 14.622
_cell_length_b 14.622
_cell_length_c 14.474
_cell_angle_alpha 109.43
_cell_angle_beta 109.43
_cell_angle_gamma 109.70
_space_group_name_H-M_alt 'P 1'
_space_group_IT_number 1
_space_group_name_Hall 'P 1'
loop_
_atom_site_label
_atom_site_type_symbol
_atom_site_fract_x
_atom_site_fract_y
_atom_site_fract_z
_atom_site_occupancy
K1 K 0.000 0.000 0.000 1
K2 K 0.178 0.548 0.988 1
K3 K 0.181 0.995 0.804 1
K4 K 0.363 0.545 0.543 1
K5 K 0.366 0.736 0.364 1
K6 K 0.545 0.363 0.543 1
K7 K 0.548 0.178 0.988 1
K8 K 0.551 0.733 0.175 1
K9 K 0.733 0.551 0.175 1
K10 K 0.736 0.366 0.364 1
K11 K 0.995 0.181 0.804 1
Rb1 Rb 0.016 0.360 0.181 1
Rb2 Rb 0.051 0.782 0.179 1
Rb3 Rb 0.053 0.363 0.574 1
Rb4 Rb 0.088 0.682 0.490 1
Rb5 Rb 0.360 0.016 0.181 1
Rb6 Rb 0.361 0.361 0.808 1
Rb7 Rb 0.362 0.362 0.180 1
Rb8 Rb 0.363 0.053 0.574 1
Rb9 Rb 0.367 0.775 0.864 1
Rb10 Rb 0.642 0.960 0.769 1
Rb11 Rb 0.682 0.088 0.490 1
Rb12 Rb 0.683 0.683 0.898 1
Rb13 Rb 0.726 0.726 0.534 1
Rb14 Rb 0.775 0.367 0.864 1
Rb15 Rb 0.782 0.051 0.179 1
Rb16 Rb 0.960 0.642 0.769 1
Rb17 Rb 0.965 0.965 0.451 1
Ca1 Ca 0.181 0.181 0.361 1

=====

Record 2
# Nd2AlSi3Pt4 PBE-GGA relaxed
# SG	P-4m2
# ΔE_f (raw)	-1.134	eV per atom
# E	-0.478	Ry per atom
data_Nd2AlSi3Pt4
_cell_length_a 4.275
_cell_length_b 4.275
_cell_length_c 10.001
_cell_angle_alpha 90.00
_cell_angle_beta 90.00
_cell_angle_gamma 90.00
_space_group_name_H-M_alt 'P 1'
_space_group_IT_number 1
_space_group_name_Hall 'P 1'
loop_
_atom_site_label
_atom_site_type_symbol
_atom_site_fract_x
_atom_site_fract_y
_atom_site_fract_z
_atom_site_occupancy
Nd1 Nd 0.000 0.500 0.248 1
Nd2 Nd 0.500 0.000 0.752 1
Al1 Al 0.500 0.500 0.000 1
Si1 Si 0.000 0.000 0.000 1
Si2 Si 0.000 0.500 0.628 1
Si3 Si 0.500 0.000 0.372 1
Pt1 Pt 0.000 0.000 0.500 1
Pt2 Pt 0.000 0.500 0.869 1
Pt3 Pt 0.500 0.000 0.131 1
Pt4 Pt 0.500 0.500 0.500 1

=====

Record 3
# RbGa3Tc PBE-GGA relaxed
# SG	P-1
# distance to the lowest polymorph of the same formula	0.486	eV/f.u.
# calculated formation energy	-0.05	eV/atom
# E	-0.303	Ry per atom
data_RbGa3Tc
_cell_length_a 5.110
_cell_length_b 5.178
_cell_length_c 13.320
_cell_angle_alpha 93.88
_cell_angle_beta 91.64
_cell_angle_gamma 119.54
_space_group_name_H-M_alt 'P 1'
_space_group_IT_number 1
_space_group_name_Hall 'P 1'
loop_
_atom_site_label
_atom_site_type_symbol
_atom_site_fract_x
_atom_site_fract_y
_atom_site_fract_z
_atom_site_occupancy
Rb1 Rb 0.156 0.260 0.336 1
Rb2 Rb 0.844 0.740 0.664 1
Ga1 Ga 0.083 0.675 0.918 1
Ga2 Ga 0.420 0.323 0.082 1
Ga3 Ga 0.434 0.845 0.151 1
Ga4 Ga 0.566 0.155 0.849 1
Ga5 Ga 0.580 0.677 0.918 1
Ga6 Ga 0.917 0.325 0.082 1
Tc1 Tc 0.078 0.171 0.907 1
Tc2 Tc 0.922 0.829 0.093 1

=====

Record 4
# Ba2LiCu3O6 PBE-GGA relaxed
# SG	Fmmm
# ΔE_f (raw)	-1.467	eV per atom
# distance to the lowest polymorph of the same formula	0.000	eV/f.u.
# E	-0.401	Ry per atom
data_Ba2LiCu3O6
_cell_length_a 9.180
_cell_length_b 8.254
_cell_length_c 7.125
_cell_angle_alpha 72.89
_cell_angle_beta 59.24
_cell_angle_gamma 47.88
_space_group_name_H-M_alt 'P 1'
_space_group_IT_number 1
_space_group_name_Hall 'P 1'
loop_
_atom_site_label
_atom_site_type_symbol
_atom_site_fract_x
_atom_site_fract_y
_atom_site_fract_z
_atom_site_occupancy
Ba1 Ba 0.231 0.769 0.231 1
Ba2 Ba 0.250 0.250 0.250 1
Ba3 Ba 0.750 0.750 0.750 1
Ba4 Ba 0.769 0.231 0.769 1
Li1 Li 0.336 0.336 0.664 1
Li2 Li 0.664 0.664 0.336 1
Cu1 Cu 0.005 0.691 0.995 1
Cu2 Cu 0.309 0.995 0.691 1
Cu3 Cu 0.322 0.678 0.678 1
Cu4 Cu 0.678 0.322 0.322 1
Cu5 Cu 0.691 0.005 0.309 1
Cu6 Cu 0.995 0.309 0.005 1
O1 O 0.077 0.304 0.696 1
O2 O 0.102 0.704 0.678 1
O3 O 0.296 0.898 0.483 1
O4 O 0.304 0.077 0.923 1
O5 O 0.322 0.483 0.898 1
O6 O 0.483 0.322 0.296 1
O7 O 0.517 0.678 0.704 1
O8 O 0.678 0.517 0.102 1
O9 O 0.696 0.923 0.077 1
O10 O 0.704 0.102 0.517 1
O11 O 0.898 0.296 0.322 1
O12 O 0.923 0.696 0.304 1

=====

Record 5
# Cu PBE-GGA relaxed
# SG	I4_1/amd
# distance to the lowest polymorph of the same formula	0.328	eV/f.u.
# calculated formation energy	0.33	eV/atom
# E	-0.277	Ry per atom
data_Cu
_cell_length_a 3.495
_cell_length_b 3.495
_cell_length_c 3.495
_cell_angle_alpha 97.07
_cell_angle_beta 97.07
_cell_angle_gamma 138.91
_space_group_name_H-M_alt 'P 1'
_space_group_IT_number 1
_space_group_name_Hall 'P 1'
loop_
_atom_site_label
_atom_site_type_symbol
_atom_site_fract_x
_atom_site_fract_y
_atom_site_fract_z
_atom_site_occupancy
Cu1 Cu 0.375 0.625 0.750 1
Cu2 Cu 0.625 0.375 0.250 1

=====

Record 6
# GeTe3Pb PBE-GGA relaxed
# SG	C2/m
# ΔE_f (raw)	-0.121	eV per atom
# distance to the lowest polymorph of the same formula	0.000	eV/f.u.
# E	-0.270	Ry per atom
data_GeTe3Pb
_cell_length_a 8.123
_cell_length_b 8.123
_cell_length_c 5.648
_cell_angle_alpha 92.17
_cell_angle_beta 92.17
_cell_angle_gamma 76.47
_space_group_name_H-M_alt 'P 1'
_space_group_IT_number 1
_space_group_name_Hall 'P 1'
loop_
_atom_site_label
_atom_site_type_symbol
_atom_site_fract_x
_atom_site_fract_y
_atom_site_fract_z
_atom_site_occupancy
Ge1 Ge 0.177 0.823 0.000 1
Ge2 Ge 0.823 0.177 0.000 1
Te1 Te 0.104 0.104 0.737 1
Te2 Te 0.152 0.569 0.725 1
Te3 Te 0.431 0.848 0.275 1
Te4 Te 0.569 0.152 0.725 1
Te5 Te 0.848 0.431 0.275 1
Te6 Te 0.896 0.896 0.263 1
Pb1 Pb 0.290 0.290 0.105 1
Pb2 Pb 0.710 0.710 0.895 1

=====

Record 7
# Rb2SmNpSe4 PBE-GGA relaxed
# SG	P2/m
# ΔE_f (raw)	-1.479	eV per atom
# E	-0.417	Ry per atom
data_Rb2SmNpSe4
_cell_length_a 7.501
_cell_length_b 4.322
_cell_length_c 8.375
_cell_angle_alpha 90.00
_cell_angle_beta 107.39
_cell_angle_gamma 90.00
_space_group_name_H-M_alt 'P 1'
_space_group_IT_number 1
_space_group_name_Hall 'P 1'
loop_
_atom_site_label
_atom_site_type_symbol
_atom_site_fract_x
_atom_site_fract_y
_atom_site_fract_z
_atom_site_occupancy
Rb1 Rb 0.000 0.000 0.000 1
Rb2 Rb 0.500 0.500 0.000 1
Sm1 Sm 0.000 0.500 0.500 1
Np1 Np 0.500 0.000 0.500 1
Se1 Se 0.233 0.000 0.699 1
Se2 Se 0.270 0.500 0.304 1
Se3 Se 0.730 0.500 0.696 1
Se4 Se 0.767 0.000 0.301 1

=====

Record 8
# Ta2TeRh PBE-GGA relaxed
# SG	P2/m
# ΔE_f (raw)	0.048	eV per atom
# E	-0.625	Ry per atom
data_Ta2TeRh
_cell_length_a 3.023
_cell_length_b 4.293
_cell_length_c 5.702
_cell_angle_alpha 90.00
_cell_angle_beta 102.66
_cell_angle_gamma 90.00
_space_group_name_H-M_alt 'P 1'
_space_group_IT_number 1
_space_group_name_Hall 'P 1'
loop_
_atom_site_label
_atom_site_type_symbol
_atom_site_fract_x
_atom_site_fract_y
_atom_site_fract_z
_atom_site_occupancy
Ta1 Ta 0.006 0.000 0.239 1
Ta2 Ta 0.994 0.000 0.761 1
Te1 Te 0.500 0.500 0.500 1
Rh1 Rh 0.500 0.500 0.000 1

=====

Record 9
# SiAg2Pb PBE-GGA relaxed
# SG	Imm2
# ΔE_f (raw)	0.343	eV per atom
# distance to the lowest polymorph of the same formula	0.304	eV/f.u.
# E	-0.247	Ry per atom
data_SiAg2Pb
_cell_length_a 5.675
_cell_length_b 5.675
_cell_length_c 5.675
_cell_angle_alpha 143.76
_cell_angle_beta 127.95
_cell_angle_gamma 65.06
_space_group_name_H-M_alt 'P 1'
_space_group_IT_number 1
_space_group_name_Hall 'P 1'
loop_
_atom_site_label
_atom_site_type_symbol
_atom_site_fract_x
_atom_site_fract_y
_atom_site_fract_z
_atom_site_occupancy
Si1 Si 0.000 0.000 0.000 1
Ag1 Ag 0.208 0.708 0.500 1
Ag2 Ag 0.464 0.464 0.000 1
Pb1 Pb 0.738 0.238 0.500 1

=====

Record 10
# CaVCu PBE-GGA relaxed
# SG	P6_3/mmc
# distance to the lowest polymorph of the same formula	1.664	eV/f.u.
# calculated formation energy	0.81	eV/atom
# E	-0.314	Ry per atom
data_CaVCu
_cell_length_a 4.854
_cell_length_b 4.854
_cell_length_c 5.871
_cell_angle_alpha 90.00
_cell_angle_beta 90.00
_cell_angle_gamma 120.00
_space_group_name_H-M_alt 'P 1'
_space_group_IT_number 1
_space_group_name_Hall 'P 1'
loop_
_atom_site_label
_atom_site_type_symbol
_atom_site_fract_x
_atom_site_fract_y
_atom_site_fract_z
_atom_site_occupancy
Ca1 Ca 0.333 0.667 0.250 1
Ca2 Ca 0.667 0.333 0.750 1
V1 V 0.333 0.667 0.750 1
V2 V 0.667 0.333 0.250 1
Cu1 Cu 0.000 0.000 0.000 1
Cu2 Cu 0.000 0.000 0.500 1

=====

Record 11
# Sm2SbPd6 PBE-GGA relaxed
# SG	C2/m
# ΔE_f (raw)	-0.738	eV per atom
# distance to the lowest polymorph of the same formula	0.000	eV/f.u.
# E	-0.419	Ry per atom
data_Sm2SbPd6
_cell_length_a 5.752
_cell_length_b 5.752
_cell_length_c 6.254
_cell_angle_alpha 100.97
_cell_angle_beta 100.97
_cell_angle_gamma 61.22
_space_group_name_H-M_alt 'P 1'
_space_group_IT_number 1
_space_group_name_Hall 'P 1'
loop_
_atom_site_label
_atom_site_type_symbol
_atom_site_fract_x
_atom_site_fract_y
_atom_site_fract_z
_atom_site_occupancy
Sm1 Sm 0.145 0.145 0.331 1
Sm2 Sm 0.855 0.855 0.669 1
Sb1 Sb 0.500 0.500 0.500 1
Pd1 Pd 0.107 0.636 0.173 1
Pd2 Pd 0.364 0.893 0.827 1
Pd3 Pd 0.365 0.365 0.807 1
Pd4 Pd 0.635 0.635 0.193 1
Pd5 Pd 0.636 0.107 0.173 1
Pd6 Pd 0.893 0.364 0.827 1

=====

Record 12
# NaZnPd3 PBE-GGA relaxed
# SG	P1
# distance to the lowest polymorph of the same formula	0.000	eV/f.u.
# calculated formation energy	-0.16	eV/atom
# E	-0.279	Ry per atom
data_NaZnPd3
_cell_length_a 5.760
_cell_length_b 6.399
_cell_length_c 6.613
_cell_angle_alpha 61.37
_cell_angle_beta 89.84
_cell_angle_gamma 63.34
_space_group_name_H-M_alt 'P 1'
_space_group_IT_number 1
_space_group_name_Hall 'P 1'
loop_
_atom_site_label
_atom_site_type_symbol
_atom_site_fract_x
_atom_site_fract_y
_atom_site_fract_z
_atom_site_occupancy
Na1 Na 0.000 0.000 0.000 1
Na2 Na 0.239 0.522 0.571 1
Zn1 Zn 0.548 0.907 0.864 1
Zn2 Zn 0.754 0.493 0.334 1
Pd1 Pd 0.022 0.483 0.029 1
Pd2 Pd 0.213 0.053 0.515 1
Pd3 Pd 0.493 0.485 0.031 1
Pd4 Pd 0.497 0.006 0.185 1
Pd5 Pd 0.703 0.592 0.653 1
Pd6 Pd 0.738 0.050 0.514 1

=====

Record 13
# CeNdSeO2 PBE-GGA relaxed
# SG	I4mm
# ΔE_f (raw)	-2.941	eV per atom
# E	-0.570	Ry per atom
data_CeNdSeO2
_cell_length_a 6.872
_cell_length_b 6.872
_cell_length_c 6.872
_cell_angle_alpha 146.52
_cell_angle_beta 146.52
_cell_angle_gamma 48.07
_space_group_name_H-M_alt 'P 1'
_space_group_IT_number 1
_space_group_name_Hall 'P 1'
loop_
_atom_site_label
_atom_site_type_symbol
_atom_site_fract_x
_atom_site_fract_y
_atom_site_fract_z
_atom_site_occupancy
Ce1 Ce 0.000 0.000 0.000 1
Nd1 Nd 0.304 0.304 0.000 1
Se1 Se 0.655 0.655 0.000 1
O1 O 0.404 0.904 0.500 1
O2 O 0.904 0.404 0.500 1

=====

Record 14
# NaCa2Hg2 PBE-GGA relaxed
# SG	I4/mmm
# distance to the lowest polymorph of the same formula	0.865	eV/f.u.
# calculated formation energy	-0.23	eV/atom
# E	-0.104	Ry per atom
data_NaCa2Hg2
_cell_length_a 7.286
_cell_length_b 7.286
_cell_length_c 7.286
_cell_angle_alpha 138.06
_cell_angle_beta 138.06
_cell_angle_gamma 60.82
_space_group_name_H-M_alt 'P 1'
_space_group_IT_number 1
_space_group_name_Hall 'P 1'
loop_
_atom_site_label
_atom_site_type_symbol
_atom_site_fract_x
_atom_site_fract_y
_atom_site_fract_z
_atom_site_occupancy
Na1 Na 0.000 0.000 0.000 1
Ca1 Ca 0.250 0.750 0.500 1
Ca2 Ca 0.750 0.250 0.500 1
Hg1 Hg 0.388 0.388 0.000 1
Hg2 Hg 0.612 0.612 0.000 1

=====

Record 15
# Pm2Nd7Sm2 PBE-GGA relaxed
# SG	C2/m
# distance to the lowest polymorph of the same formula	1.408	eV/f.u.
# calculated formation energy	0.16	eV/atom
# E	-0.338	Ry per atom
data_Pm2Nd7Sm2
_cell_length_a 7.002
_cell_length_b 7.002
_cell_length_c 8.332
_cell_angle_alpha 101.55
_cell_angle_beta 101.55
_cell_angle_gamma 86.18
_space_group_name_H-M_alt 'P 1'
_space_group_IT_number 1
_space_group_name_Hall 'P 1'
loop_
_atom_site_label
_atom_site_type_symbol
_atom_site_fract_x
_atom_site_fract_y
_atom_site_fract_z
_atom_site_occupancy
Pm1 Pm 0.208 0.792 0.000 1
Pm2 Pm 0.792 0.208 0.000 1
Nd1 Nd 0.000 0.000 0.500 1
Nd2 Nd 0.100 0.507 0.325 1
Nd3 Nd 0.278 0.278 0.973 1
Nd4 Nd 0.493 0.900 0.675 1
Nd5 Nd 0.507 0.100 0.325 1
Nd6 Nd 0.722 0.722 0.027 1
Nd7 Nd 0.900 0.493 0.675 1
Sm1 Sm 0.422 0.422 0.681 1
Sm2 Sm 0.578 0.578 0.319 1

=====

Record 16
# LaGdErAg PBE-GGA relaxed
# SG	F-43m
# calculated formation energy	0.05	eV/atom
# E	-0.482	Ry per atom
data_LaGdErAg
_cell_length_a 5.480
_cell_length_b 5.480
_cell_length_c 5.480
_cell_angle_alpha 60.00
_cell_angle_beta 60.00
_cell_angle_gamma 60.00
_space_group_name_H-M_alt 'P 1'
_space_group_IT_number 1
_space_group_name_Hall 'P 1'
loop_
_atom_site_label
_atom_site_type_symbol
_atom_site_fract_x
_atom_site_fract_y
_atom_site_fract_z
_atom_site_occupancy
La1 La 0.000 0.000 0.000 1
Gd1 Gd 0.500 0.500 0.500 1
Er1 Er 0.250 0.250 0.250 1
Ag1 Ag 0.750 0.750 0.750 1

=====

Record 17
# CoReOsSe2 PBE-GGA relaxed
# SG	P4/mmm
# ΔE_f (raw)	1.776	eV per atom
# E	-0.424	Ry per atom
data_CoReOsSe2
_cell_length_a 4.789
_cell_length_b 4.789
_cell_length_c 4.871
_cell_angle_alpha 90.00
_cell_angle_beta 90.00
_cell_angle_gamma 90.00
_space_group_name_H-M_alt 'P 1'
_space_group_IT_number 1
_space_group_name_Hall 'P 1'
loop_
_atom_site_label
_atom_site_type_symbol
_atom_site_fract_x
_atom_site_fract_y
_atom_site_fract_z
_atom_site_occupancy
Co1 Co 0.000 0.000 0.000 1
Re1 Re 0.500 0.500 0.000 1
Os1 Os 0.500 0.500 0.500 1
Se1 Se 0.000 0.500 0.500 1
Se2 Se 0.500 0.000 0.500 1

=====

Record 18
# LiHo4Zn PBE-GGA relaxed
# SG	P4/mmm
# calculated formation energy	0.26	eV/atom
# E	-0.245	Ry per atom
data_LiHo4Zn
_cell_length_a 4.933
_cell_length_b 4.933
_cell_length_c 7.209
_cell_angle_alpha 90.00
_cell_angle_beta 90.00
_cell_angle_gamma 90.00
_space_group_name_H-M_alt 'P 1'
_space_group_IT_number 1
_space_group_name_Hall 'P 1'
loop_
_atom_site_label
_atom_site_type_symbol
_atom_site_fract_x
_atom_site_fract_y
_atom_site_fract_z
_atom_site_occupancy
Li1 Li 0.000 0.000 0.000 1
Ho1 Ho 0.000 0.500 0.264 1
Ho2 Ho 0.000 0.500 0.736 1
Ho3 Ho 0.500 0.000 0.264 1
Ho4 Ho 0.500 0.000 0.736 1
Zn1 Zn 0.500 0.500 0.500 1

=====

Record 19
# CdSb2Cl PBE-GGA relaxed
# SG	Cmmm
# ΔE_f (raw)	0.070	eV per atom
# distance to the lowest polymorph of the same formula	1.418	eV/f.u.
# E	-0.197	Ry per atom
data_CdSb2Cl
_cell_length_a 6.255
_cell_length_b 6.255
_cell_length_c 3.192
_cell_angle_alpha 90.00
_cell_angle_beta 90.00
_cell_angle_gamma 123.36
_space_group_name_H-M_alt 'P 1'
_space_group_IT_number 1
_space_group_name_Hall 'P 1'
loop_
_atom_site_label
_atom_site_type_symbol
_atom_site_fract_x
_atom_site_fract_y
_atom_site_fract_z
_atom_site_occupancy
Cd1 Cd 0.000 0.000 0.000 1
Sb1 Sb 0.000 0.500 0.500 1
Sb2 Sb 0.500 0.000 0.500 1
Cl1 Cl 0.500 0.500 0.000 1

=====

Record 20
# Ba2NiAu PBE-GGA relaxed
# SG	Fm-3m
# calculated formation energy	-0.22	eV/atom
# E	-0.253	Ry per atom
data_Ba2NiAu
_cell_length_a 5.567
_cell_length_b 5.567
_cell_length_c 5.567
_cell_angle_alpha 60.00
_cell_angle_beta 60.00
_cell_angle_gamma 60.00
_space_group_name_H-M_alt 'P 1'
_space_group_IT_number 1
_space_group_name_Hall 'P 1'
loop_
_atom_site_label
_atom_site_type_symbol
_atom_site_fract_x
_atom_site_fract_y
_atom_site_fract_z
_atom_site_occupancy
Ba1 Ba 0.250 0.250 0.250 1
Ba2 Ba 0.750 0.750 0.750 1
Ni1 Ni 0.000 0.000 0.000 1
Au1 Au 0.500 0.500 0.500 1